Record 1
# CeVOs

CeVOs after structural relaxation (PBE-GGA, the Alexandria database).

```
6
Lattice="4.322 0.000 2.427 1.532 4.574 2.334 -0.165 -0.065 5.356" Properties=species:S:1:pos:R:3 pbc="T T T"
Os 2.079 -0.033 3.891
Os 2.927 2.287 2.380
Ce 4.279 1.714 5.034
Ce 1.410 2.795 5.082
V 2.161 0.000 1.213
V 0.000 0.000 0.000
```

SG: Imma (74)
ΔH_f (0 K) (eV/atom): -0.169
Offset from the most stable computed form (eV per atom): 0.000
VASP energy (eV per atom): -8.930

Record 2
# Ce4Y3Os4

Ce4Y3Os4 after structural relaxation (PBE-GGA, the Alexandria database).

```
11
Lattice="-2.468 2.762 0.118 -0.965 -0.466 -9.286 -3.842 -6.152 5.413" Properties=species:S:1:pos:R:3 pbc="T T T"
Os -2.000 1.011 -7.311
Os -1.433 1.285 -1.857
Os -4.405 -1.474 0.532
Os -2.871 -2.383 -4.287
Y -6.062 -2.764 -3.936
Y -0.483 -0.233 -4.643
Y -1.214 -1.093 0.181
Ce -3.350 -0.402 -2.484
Ce -3.925 -3.454 -1.272
Ce -3.730 -0.585 -6.140
Ce -3.545 -3.271 2.385
```

SG: Immm (71)
ΔH_f (0 K) (eV/atom): -0.137
VASP energy (eV per atom): -8.141

Record 3
# Ce2YOs

Ce2YOs after structural relaxation (PBE-GGA, the Alexandria database).

```
4
Lattice="-3.165 -2.022 -1.284 -2.442 -1.730 2.608 -6.629 5.984 0.783" Properties=species:S:1:pos:R:3 pbc="T T T"
Os -3.753 -2.478 0.884
Y -6.101 1.091 1.053
Ce -2.715 0.035 0.502
Ce -5.784 4.701 0.723
```

SG: R3m (160)
ΔH_f (0 K) (eV/atom): 0.038
Offset from the most stable computed form (eV per atom): 0.186
VASP energy (eV per atom): -7.352

Record 4
# Ce3YOs3

Ce3YOs3 after structural relaxation (PBE-GGA, the Alexandria database).

```
14
Lattice="8.759 0.000 0.000 4.379 7.585 0.000 4.379 2.528 5.228" Properties=species:S:1:pos:R:3 pbc="T T T"
Ce 10.707 2.696 3.570
Ce 7.688 2.189 1.657
Ce 5.740 4.550 3.570
Ce 9.829 7.925 3.570
Ce 11.778 5.564 1.657
Ce 6.810 7.418 1.657
Os 11.605 5.347 4.222
Os 7.587 2.447 4.222
Os 10.433 2.737 1.006
Os 9.930 7.667 1.006
Os 5.912 4.766 1.006
Os 7.084 7.377 4.222
Y 13.138 7.585 5.138
Y 4.379 2.528 0.090
```

SG: R-3 (148)
ΔH_f (0 K) (eV/atom): -0.119
VASP energy (eV per atom): -8.398

Record 5
# Ce2YOs

Ce2YOs after structural relaxation (PBE-GGA, the Alexandria database).

```
32
Lattice="6.030 0.000 0.000 0.000 9.624 0.000 0.000 0.000 14.445" Properties=species:S:1:pos:R:3 pbc="T T T"
Ce 4.554 9.065 0.536
Ce 1.539 0.559 6.687
Ce 2.667 4.199 10.291
Ce 0.348 0.613 3.068
Ce 1.539 4.253 6.687
Ce 5.682 5.425 11.377
Ce 3.364 9.011 4.155
Ce 4.492 9.065 7.759
Ce 1.476 4.253 13.909
Ce 3.364 5.425 4.155
Ce 4.554 5.371 0.536
Ce 5.682 9.011 11.377
Ce 4.492 5.371 7.759
Ce 1.476 0.559 13.909
Ce 0.348 4.199 3.068
Ce 2.667 0.613 10.291
Y 4.430 2.406 12.938
Y 2.802 7.218 12.378
Y 1.601 7.218 1.507
Y 1.415 7.218 8.730
Y 3.229 2.406 2.067
Y 0.213 7.218 5.155
Y 4.616 2.406 5.715
Y 5.817 2.406 9.290
Os 4.346 7.218 9.780
Os 5.976 7.218 13.425
Os 1.330 2.406 11.888
Os 0.055 2.406 1.020
Os 2.960 2.406 8.243
Os 4.700 7.218 2.558
Os 3.070 7.218 6.203
Os 1.685 2.406 4.665
```

SG: Pnma (62)
ΔH_f (0 K) (eV/atom): -0.148
Offset from the most stable computed form (eV per atom): 0.000
VASP energy (eV per atom): -7.538

Record 6
# Ce2YOs

Ce2YOs after structural relaxation (PBE-GGA, the Alexandria database).

```
4
Lattice="-3.100 2.351 -0.332 -2.540 0.310 2.949 2.841 7.586 4.234" Properties=species:S:1:pos:R:3 pbc="T T T"
Ce -1.765 8.158 5.376
Ce -1.033 2.089 1.476
Os 0.000 0.000 0.000
Y -1.399 5.124 3.426
```

SG: R-3m (166)
ΔH_f (0 K) (eV/atom): 0.047
Offset from the most stable computed form (eV per atom): 0.195
VASP energy (eV per atom): -7.343